# TlInI3

A relaxed structure of TlInI3 (PBE, Alexandria via LeMat-Bulk).

## Properties
Formation energy (no corrections): -0.456 eV per atom
Electronic total energy: -12.03 eV for the cell shown

a = 6.079 Å, b = 6.079 Å, c = 6.079 Å
α = 90.00°, β = 90.00°, γ = 90.00°
Element x y z (fractional)
I1 0.000 0.500 0.000
I2 0.000 0.000 0.500
I3 0.500 0.000 0.000
Tl1 0.500 0.500 0.500
In1 0.000 0.000 0.000